[1]
First-principles (PBE) data for an optimized crystal structure of Cd2SbPtN, as listed in Alexandria.

Computed properties:
Crystal system   tetragonal
Uncorrected formation energy   512 meV per atom
DOS at the Fermi energy   0.73 states/eV per atom
Space group   P4/mmm, No. 123
Magnetic moment   0.000 μB/atom

abc: 4.6315 4.4078 4.6315
angles: 90.00 90.00 90.00
Sites, in units of the cell vectors:
1 Sb 0.5000 0.5000 0.5000
2 N 0.0000 0.0000 0.0000
3 Pt 0.0000 0.5000 0.0000
4 Cd 0.0000 0.0000 0.5000
5 Cd 0.5000 0.0000 0.0000

[2]
First-principles (PBE) data for an optimized crystal structure of CdSb2TeIr, as listed in Alexandria.

Computed properties:
Crystal system   tetragonal
Uncorrected formation energy   1526 meV per atom
DOS at the Fermi energy   0.86 states/eV per atom
Offset from the most stable computed form   1114 meV per atom
Space group   P4/mmm, No. 123
Magnetic moment   0.000 μB/atom

abc: 5.3040 5.3040 5.4260
angles: 90.00 90.00 90.00
Sites, in units of the cell vectors:
1 Sb 0.0000 0.5000 0.0000
2 Sb 0.5000 0.0000 0.0000
3 Ir 0.5000 0.5000 0.5000
4 Te 0.0000 0.0000 0.5000
5 Cd 0.0000 0.0000 0.0000

[3]
First-principles (PBE) data for an optimized crystal structure of Ba2AgSbF, as listed in Alexandria.

Computed properties:
Crystal system   tetragonal
Uncorrected formation energy   -718 meV per atom
DOS at the Fermi energy   1.07 states/eV per atom
Space group   P4/mmm, No. 123
Magnetic moment   0.000 μB/atom

abc: 6.7570 4.6079 6.7570
angles: 90.00 90.00 90.00
Sites, in units of the cell vectors:
1 Sb 0.0000 0.0000 0.0000
2 Ba 0.0000 0.0000 0.5000
3 Ba 0.5000 0.0000 0.0000
4 Ag 0.5000 0.5000 0.5000
5 F 0.0000 0.5000 0.0000

[4]
First-principles (PBE) data for an optimized crystal structure of Tl2CdTc, as listed in Alexandria.

Computed properties:
Crystal system   monoclinic
DOS at the Fermi energy   0.73 states/eV per atom
Offset from the most stable computed form   212 meV per atom
Space group   P2/m, No. 10
Formation enthalpy at 0 K   663 meV/atom
Magnetic moment   0.393 μB/atom

abc: 5.0250 3.1673 5.5870
angles: 88.39 90.00 90.00
Site moments in Bohr magnetons follow the coordinates.
Sites, in units of the cell vectors:
1 Cd 0.5000 0.2500 0.2500  -0.02
2 Tc 0.5000 0.7500 0.7500  1.53
3 Tl 0.0000 0.9914 0.9886  -0.02
4 Tl 0.0000 0.5087 0.5114  -0.02

[5]
First-principles (PBE) data for an optimized crystal structure of YZrCu3, as listed in Alexandria.

Computed properties:
Crystal system   cubic
DOS at the Fermi energy   1.10 states/eV per atom
Offset from the most stable computed form   819 meV per atom
Space group   Pm-3m, No. 221
Formation enthalpy at 0 K   631 meV/atom
Magnetic moment   0.000 μB/atom

abc: 4.8225 4.8225 4.8225
angles: 90.00 90.00 90.00
Sites, in units of the cell vectors:
1 Y 0.5000 0.5000 0.5000
2 Cu 0.0000 0.5000 0.0000
3 Cu 0.0000 0.0000 0.5000
4 Cu 0.5000 0.0000 0.0000
5 Zr 0.0000 0.0000 0.0000

[6]
First-principles (PBE) data for an optimized crystal structure of Al2FeH2, as listed in Alexandria.

Computed properties:
Crystal system   tetragonal
DOS at the Fermi energy   0.55 states/eV per atom
Offset from the most stable computed form   0 meV per atom
Space group   I4/mmm, No. 139
Magnetic moment   0.227 μB/atom

abc: 2.7531 2.7531 6.3891
angles: 77.56 77.56 90.00
Site moments in Bohr magnetons follow the coordinates.
Sites, in units of the cell vectors:
1 H 0.7500 0.2500 0.5000  0.00
2 H 0.2500 0.7500 0.5000  0.00
3 Fe 0.0000 0.0000 0.0000  1.25
4 Al 0.3680 0.3680 0.2640  -0.02
5 Al 0.6320 0.6320 0.7360  -0.02

[7]
First-principles (PBE) data for an optimized crystal structure of LaTb4DyHo2, as listed in Alexandria.

Computed properties:
Crystal system   monoclinic
DOS at the Fermi energy   2.45 states/eV per atom
Space group   C2/c, No. 15
Formation enthalpy at 0 K   418 meV/atom
Magnetic moment   0.020 μB/atom

abc: 9.4897 9.4897 11.7791
angles: 128.36 128.36 88.47
Sites, in units of the cell vectors:
1 La 0.5000 0.5000 0.5000
2 La 0.0000 0.0000 0.0000
3 Tb 0.2518 0.7482 0.0101
4 Tb 0.7518 0.2482 0.4899
5 Tb 0.2482 0.7518 0.5101
6 Tb 0.7482 0.2518 0.9899
7 Tb 0.7492 0.7500 0.0008
8 Tb 0.7500 0.7508 0.4992
9 Tb 0.2500 0.2492 0.5008
10 Tb 0.2508 0.2500 0.9992
11 Dy 0.0000 0.5000 0.0000
12 Dy 0.0000 0.5000 0.5000
13 Ho 0.5000 0.0000 0.0000
14 Ho 0.5000 0.0000 0.5000
15 Ho 0.0000 0.0000 0.5000
16 Ho 0.5000 0.5000 0.0000

[8]
First-principles (PBE) data for an optimized crystal structure of TbTm2Ag3Se6, as listed in Alexandria.

Computed properties:
Crystal system   monoclinic
Uncorrected formation energy   -1158 meV per atom
DOS at the Fermi energy   0.00 states/eV per atom
Space group   C2/m, No. 12
Magnetic moment   0.000 μB/atom

abc: 7.1806 7.1806 6.9197
angles: 99.94 99.94 120.01
Sites, in units of the cell vectors:
1 Tb 0.0000 0.0000 0.0000
2 Tm 0.3330 0.6670 0.0000
3 Tm 0.6670 0.3330 0.0000
4 Ag 0.1651 0.8349 0.5000
5 Ag 0.8349 0.1651 0.5000
6 Ag 0.5000 0.5000 0.5000
7 Se 0.9191 0.5813 0.7572
8 Se 0.7430 0.7430 0.2435
9 Se 0.0809 0.4187 0.2428
10 Se 0.5813 0.9191 0.7572
11 Se 0.2570 0.2570 0.7565
12 Se 0.4187 0.0809 0.2428